[1]
Computed, not measured: an optimized crystal structure of Ca3AcZn8 at the GGA-PBE level of DFT.

abc: 5.727 5.727 8.924
angles: 90.00 90.00 120.00
Sites, in units of the cell vectors:
Ca1 0.000 0.000 0.000
Ca2 0.000 0.000 0.381
Ca3 0.333 0.667 0.897
Ac1 0.333 0.667 0.504
Zn1 0.336 0.168 0.699
Zn2 0.505 0.009 0.191
Zn3 0.505 0.495 0.191
Zn4 0.667 0.333 0.445
Zn5 0.667 0.333 0.942
Zn6 0.832 0.168 0.699
Zn7 0.832 0.664 0.699
Zn8 0.991 0.495 0.191

Properties
Crystal system: trigonal

***

[2]
Computed, not measured: an optimized crystal structure of Ca2AcZn4 at the GGA-PBE level of DFT.

abc: 4.040 4.602 19.650
angles: 90.00 90.00 90.00
Sites, in units of the cell vectors:
Ca1 0.000 0.000 0.190
Ca2 0.000 0.000 0.810
Ca3 0.500 0.500 0.310
Ca4 0.500 0.500 0.690
Ac1 0.000 0.500 0.000
Ac2 0.500 0.000 0.500
Zn1 0.000 0.000 0.361
Zn2 0.000 0.000 0.639
Zn3 0.000 0.500 0.431
Zn4 0.000 0.500 0.569
Zn5 0.500 0.000 0.069
Zn6 0.500 0.000 0.931
Zn7 0.500 0.500 0.139
Zn8 0.500 0.500 0.861

Properties
Crystal system: orthorhombic

***

[3]
Computed, not measured: an optimized crystal structure of Ca2AcZn3 at the GGA-PBE level of DFT.

abc: 3.787 3.787 11.167
angles: 90.00 90.00 90.00
Sites, in units of the cell vectors:
Ca1 0.000 0.000 0.160
Ca2 0.000 0.000 0.840
Ac1 0.000 0.000 0.500
Zn1 0.500 0.500 0.000
Zn2 0.500 0.500 0.317
Zn3 0.500 0.500 0.683

Properties
Crystal system: tetragonal

***

[4]
Computed, not measured: an optimized crystal structure of CaAc2Zn3 at the GGA-PBE level of DFT.

abc: 5.447 5.447 13.316
angles: 90.00 90.00 120.00
Sites, in units of the cell vectors:
Ca1 0.333 0.667 0.166
Ca2 0.667 0.333 0.834
Ac1 0.000 0.000 0.000
Ac2 0.000 0.000 0.500
Ac3 0.333 0.667 0.674
Ac4 0.667 0.333 0.326
Zn1 0.000 0.000 0.246
Zn2 0.000 0.000 0.754
Zn3 0.333 0.667 0.414
Zn4 0.333 0.667 0.918
Zn5 0.667 0.333 0.082
Zn6 0.667 0.333 0.586

Properties
Crystal system: trigonal

***

In eV/f.u., the calculated formation energy values for the records above are, in order, -2.99; -1.83; -1.40; -1.56.